Entry from the Alexandria database: a geometry-optimized Ac2Pu2N5 structure (PBE).

energy above the lowest structure with this stoichiometry	0	meV per atom
ΔE_f (raw)	-106.9	kJ/mol of atoms
total DFT energy (no corrections)	-0.723	Ry per atom
SG	Ima2
V	17.828	A^3/atom

Cell: 6.1241 5.9843 9.7471 Å, 107.88 108.31 90.00°
With the nearest neighbours (Å) after each atom.
Sites, in units of the cell vectors:
N: 0.1890 0.1307 0.2612  2 Pu 2.18-2.32
N: 0.1268 0.6142 0.5000  2 Pu 2.18-2.24
N: 0.4278 0.3695 0.7388  2 Pu 2.18-2.32
Pu: 0.2103 0.2594 0.5000  4 N 2.18-2.24
Pu: 0.5000 0.4938 0.0000  6 N 2.15-2.32
N: 0.7572 0.7585 0.0223  2 Pu 2.15
Ac: 0.6009 0.1004 0.2272  5 N 2.63-2.94
N: 0.5722 0.6307 0.2612  2 Pu 2.18-2.32
N: 0.2349 0.2362 0.9777  2 Pu 2.15
N: 0.7651 0.2585 0.0223  2 Pu 2.15
Pu: 0.7897 0.7594 0.5000  4 N 2.18-2.24
N: 0.8732 0.1142 0.5000  2 Pu 2.18-2.24
Ac: 0.8737 0.3732 0.7728  5 N 2.63-2.94
Pu: 0.0000 0.9938 0.0000  6 N 2.15-2.32
N: 0.2428 0.7362 0.9777  2 Pu 2.15
Ac: 0.1263 0.6004 0.2272  5 N 2.63-2.94
N: 0.8110 0.8695 0.7388  2 Pu 2.18-2.32
Ac: 0.3991 0.8732 0.7728  5 N 2.63-2.94